DFT (GGA-PBE) results for K3AlTe3 after structural relaxation.

abc: 8.679 8.679 8.421
angles: 96.14 96.14 113.55
Element x y z (fractional)
K  0.604  0.604  0.357
K  0.176  0.824  0.500
K  0.824  0.176  0.500
K  0.240  0.760  0.000
K  0.760  0.240  0.000
K  0.396  0.396  0.643
Al  0.830  0.830  0.850
Al  0.170  0.170  0.150
Te  0.892  0.892  0.177
Te  0.850  0.554  0.723
Te  0.554  0.850  0.723
Te  0.150  0.446  0.277
Te  0.446  0.150  0.277
Te  0.108  0.108  0.823

## Properties
**Size of the total moment**: 0.00 μB/f.u.
**Mass density**: 3.1 g/cm3
**Distance to the lowest polymorph of the same formula**: 0.0080 eV/atom
**Crystal system**: monoclinic
**Formation energy without anion corrections**: -0.9426 eV per atom

DFT (GGA-PBE) results for LaPmBiPd after structural relaxation.

abc: 5.420 5.420 5.420
angles: 60.00 60.00 60.00
Last column: magnetic moment on the atom in μB.
Element x y z (fractional)
La  0.750  0.750  0.750  0.19
Bi  0.500  0.500  0.500  -0.02
Pd  0.000  0.000  0.000  0.07
Pm  0.250  0.250  0.250  0.25

## Properties
**Size of the total moment**: 0.94 μB/f.u.
**Mass density**: 8.8 g/cm3
**Crystal system**: cubic
**Energy of formation**: -686 meV/atom

DFT (GGA-PBE) results for LaPm7Y12 after structural relaxation.

abc: 9.840 9.840 9.840
angles: 109.47 109.47 109.47
Element x y z (fractional)
La  0.000  0.000  0.000
Pm  0.500  0.500  0.000
Pm  0.000  0.500  0.500
Pm  0.500  0.000  0.500
Pm  0.500  0.500  0.500
Pm  0.000  0.000  0.500
Pm  0.500  0.000  0.000
Pm  0.000  0.500  0.000
Y  0.495  0.748  0.748
Y  0.000  0.748  0.252
Y  0.505  0.252  0.252
Y  0.000  0.252  0.748
Y  0.748  0.000  0.252
Y  0.748  0.495  0.748
Y  0.252  0.000  0.748
Y  0.252  0.505  0.252
Y  0.748  0.748  0.495
Y  0.252  0.252  0.505
Y  0.748  0.252  0.000
Y  0.252  0.748  0.000

## Properties
**Size of the total moment**: 0.00 μB/f.u.
**Mass density**: 5.0 g/cm3
**Distance to the lowest polymorph of the same formula**: 0.4048 eV/atom
**Crystal system**: cubic
**Energy of formation**: 618 meV/atom

DFT (GGA-PBE) results for TbLu2Ti after structural relaxation.

abc: 3.330 3.330 9.554
angles: 90.00 90.00 90.00
Element x y z (fractional)
Lu  0.000  0.000  0.783
Lu  0.000  0.000  0.217
Tb  0.500  0.500  0.500
Ti  0.500  0.500  0.000

## Properties
**Size of the total moment**: 0.00 μB/f.u.
**Mass density**: 8.7 g/cm3
**Distance to the lowest polymorph of the same formula**: 0.0000 eV/atom
**Crystal system**: tetragonal
**Energy of formation**: 143 meV/atom

DFT (GGA-PBE) results for Ce3TmSc2P6 after structural relaxation.

abc: 6.870 6.870 6.818
angles: 99.68 99.68 120.01
Last column: magnetic moment on the atom in μB.
Element x y z (fractional)
Ce  0.165  0.835  0.500  0.41
Ce  0.835  0.165  0.500  0.41
Ce  0.500  0.500  0.500  0.40
Tm  0.000  0.000  0.000  0.00
Sc  0.333  0.667  0.000  0.01
Sc  0.667  0.333  0.000  0.01
P  0.921  0.582  0.764  -0.01
P  0.738  0.738  0.234  -0.01
P  0.079  0.418  0.236  -0.01
P  0.582  0.921  0.764  -0.01
P  0.262  0.262  0.766  -0.01
P  0.418  0.079  0.236  -0.01

## Properties
**Size of the total moment**: 1.35 μB/f.u.
**Mass density**: 5.5 g/cm3
**Crystal system**: monoclinic
**Energy of formation**: -1497 meV/atom

DFT (GGA-PBE) results for NaTlPd2Pt after structural relaxation.

abc: 4.593 4.985 4.593
angles: 90.00 90.00 90.00
Element x y z (fractional)
Na  0.000  0.000  0.000
Tl  0.000  0.500  0.000
Pd  0.000  0.000  0.500
Pd  0.500  0.000  0.000
Pt  0.500  0.500  0.500

## Properties
**Size of the total moment**: 0.00 μB/f.u.
**Mass density**: 10.0 g/cm3
**Crystal system**: tetragonal
**Energy of formation**: 987 meV/atom

DFT (GGA-PBE) results for BeRe2Si after structural relaxation.

abc: 7.819 7.819 7.819
angles: 20.73 20.73 20.73
Element x y z (fractional)
Re  0.002  0.002  0.002
Re  0.498  0.498  0.498
Si  0.250  0.250  0.250
Be  0.750  0.750  0.750

## Properties
**Size of the total moment**: 0.00 μB/f.u.
**Mass density**: 13.0 g/cm3
**Crystal system**: trigonal
**Formation energy without anion corrections**: 0.0840 eV per atom

DFT (GGA-PBE) results for NbAsPdSe2 after structural relaxation.

abc: 4.981 4.981 5.035
angles: 90.00 90.00 90.00
Element x y z (fractional)
As  0.000  0.000  0.500
Nb  0.000  0.000  0.000
Se  0.000  0.500  0.000
Se  0.500  0.000  0.000
Pd  0.500  0.500  0.500

## Properties
**Size of the total moment**: 0.00 μB/f.u.
**Mass density**: 5.7 g/cm3
**Distance to the lowest polymorph of the same formula**: 0.0000 eV/atom
**Crystal system**: tetragonal
**Formation energy without anion corrections**: 0.3078 eV per atom